No. 1
Here is a geometry-optimized RbZr2O2 structure from Alexandria. Energies are from GGA-PBE.

Summary:
D(E_F) in states/eV per cell: 8.14
E above lowest polymorph in meV/atom: 912.2
Formation energy from raw total energies in eV/atom: -0.57

Cell and atoms, written as CIF:
```
data_RbZr2O2
_chemical_formula_sum 'Rb2 Zr4 O4'
_symmetry_space_group_name_H-M 'P 4/m b m'
_symmetry_Int_Tables_number 127
_symmetry_space_group_name_Hall '-P 4 2ab'
_cell_length_a 6.9501
_cell_length_b 6.9501
_cell_length_c 3.0503
_cell_angle_alpha 90.00
_cell_angle_beta 90.00
_cell_angle_gamma 90.00
loop_
_atom_site_label
_atom_site_fract_x
_atom_site_fract_y
_atom_site_fract_z
Rb1 0.0000 0.0000 0.0000
Zr1 0.1543 0.3457 0.5000
O1 0.1318 0.6318 0.0000
```


No. 2
Here is a geometry-optimized Li2HfU2S6 structure from Alexandria. Energies are from GGA-PBE.

Summary:
D(E_F) in states/eV per cell: 15.14
Formation energy from raw total energies in eV/atom: -1.42

Cell and atoms, written as CIF:
```
data_Li2HfU2S6
_chemical_formula_sum 'Li4 Hf2 U4 S12'
_symmetry_space_group_name_H-M 'C 1 2/m 1'
_symmetry_Int_Tables_number 12
_symmetry_space_group_name_Hall '-C 2y'
_cell_length_a 6.6393
_cell_length_b 11.3866
_cell_length_c 6.5761
_cell_angle_alpha 90.00
_cell_angle_beta 108.23
_cell_angle_gamma 90.00
loop_
_atom_site_label
_atom_site_fract_x
_atom_site_fract_y
_atom_site_fract_z
Li1 0.0000 0.1591 0.0000
Hf1 0.0000 0.0000 0.5000
U1 0.0000 0.3361 0.5000
S1 0.2327 0.0000 0.2519
S2 0.2336 0.1606 0.7437
```